(1)
A plane-wave DFT calculation with PBE was carried out for a relaxed structure of ScAl2BiAu.

Electronic total energy   -3.404 eV per atom
Density of states at the Fermi level   0.6732 states/eV per atom
M_tot   0.00 μB per cell

Geometry as extended XYZ:
```
5
Lattice="5.310 0.000 0.000 0.000 5.310 0.000 0.000 0.000 5.470" Properties=species:S:1:pos:R:3 pbc="T T T"
Sc 0.000 0.000 0.000
Al 0.000 2.655 0.000
Al 2.655 0.000 0.000
Bi 0.000 0.000 2.735
Au 2.655 2.655 2.735
```


(2)
A plane-wave DFT calculation with PBE was carried out for a relaxed structure of PaNi7Ge2.

Electronic total energy   -5.947 eV per atom
Density of states at the Fermi level   0.6483 states/eV per atom
M_tot   0.00 μB per cell

Geometry as extended XYZ:
```
10
Lattice="3.325 -5.730 0.000 3.325 5.730 0.000 0.000 0.000 4.213" Properties=species:S:1:pos:R:3 pbc="T T T"
Pa 0.000 0.000 0.000
Ni 1.210 1.315 2.106
Ni 3.325 3.287 0.000
Ni 1.210 -1.315 2.106
Ni 3.325 0.000 2.106
Ni 5.440 1.315 2.106
Ni 3.325 -3.287 0.000
Ni 5.440 -1.315 2.106
Ge 3.325 2.279 2.106
Ge 3.325 -2.279 2.106
```


Please write out number 1 again, unchanged.
A plane-wave DFT calculation with PBE was carried out for a relaxed structure of ScAl2BiAu.

Electronic total energy   -3.404 eV per atom
Density of states at the Fermi level   0.6732 states/eV per atom
M_tot   0.00 μB per cell

Geometry as extended XYZ:
```
5
Lattice="5.310 0.000 0.000 0.000 5.310 0.000 0.000 0.000 5.470" Properties=species:S:1:pos:R:3 pbc="T T T"
Sc 0.000 0.000 0.000
Al 0.000 2.655 0.000
Al 2.655 0.000 0.000
Bi 0.000 0.000 2.735
Au 2.655 2.655 2.735
```


What did the first record say?
A plane-wave DFT calculation with PBE was carried out for a relaxed structure of ScAl2BiAu.

Electronic total energy   -3.404 eV per atom
Density of states at the Fermi level   0.6732 states/eV per atom
M_tot   0.00 μB per cell

Geometry as extended XYZ:
```
5
Lattice="5.310 0.000 0.000 0.000 5.310 0.000 0.000 0.000 5.470" Properties=species:S:1:pos:R:3 pbc="T T T"
Sc 0.000 0.000 0.000
Al 0.000 2.655 0.000
Al 2.655 0.000 0.000
Bi 0.000 0.000 2.735
Au 2.655 2.655 2.735
```


What did the second record say?
A plane-wave DFT calculation with PBE was carried out for a relaxed structure of PaNi7Ge2.

Electronic total energy   -5.947 eV per atom
Density of states at the Fermi level   0.6483 states/eV per atom
M_tot   0.00 μB per cell

Geometry as extended XYZ:
```
10
Lattice="3.325 -5.730 0.000 3.325 5.730 0.000 0.000 0.000 4.213" Properties=species:S:1:pos:R:3 pbc="T T T"
Pa 0.000 0.000 0.000
Ni 1.210 1.315 2.106
Ni 3.325 3.287 0.000
Ni 1.210 -1.315 2.106
Ni 3.325 0.000 2.106
Ni 5.440 1.315 2.106
Ni 3.325 -3.287 0.000
Ni 5.440 -1.315 2.106
Ge 3.325 2.279 2.106
Ge 3.325 -2.279 2.106
```